a.
A geometry-optimized B2C structure, computed with PBE.

Cell lengths 7.734, 7.734, 4.498 Å; angles 105.37, 105.37, 19.74 degrees
Fractional positions:
B (0.000, 0.000, 0.000)
B (0.004, 0.004, 0.639)
B (0.198, 0.198, 0.796)
B (0.322, 0.322, 0.548)
B (0.478, 0.478, 0.347)
B (0.569, 0.569, 0.160)
B (0.819, 0.819, 0.095)
B (0.888, 0.888, 0.786)
C (0.213, 0.213, 0.463)
C (0.368, 0.368, 0.243)
C (0.676, 0.676, 0.279)
C (0.708, 0.708, 0.975)

b.
A geometry-optimized B2C structure, computed with PBE.

Cell lengths 6.075, 6.075, 3.768 Å; angles 90.00, 90.00, 140.01 degrees
Fractional positions:
B (0.043, 0.957, 0.750)
B (0.111, 0.479, 0.964)
B (0.304, 0.304, 0.500)
B (0.479, 0.111, 0.036)
B (0.521, 0.889, 0.536)
B (0.696, 0.696, 0.000)
B (0.889, 0.521, 0.464)
B (0.957, 0.043, 0.250)
C (0.242, 0.758, 0.250)
C (0.415, 0.585, 0.750)
C (0.585, 0.415, 0.250)
C (0.758, 0.242, 0.750)

How do the energies compare? Relative to the most stable structure, in kJ/mol of atoms: a 5.0; b 0.0.

a.
A geometry-optimized Tb5Nd7 structure, computed with PBE.

Cell lengths 5.685, 5.685, 14.832 Å; angles 101.97, 101.97, 62.21 degrees
Fractional positions:
Tb (0.000, 0.000, 0.000)
Tb (0.138, 0.138, 0.439)
Tb (0.374, 0.374, 0.200)
Tb (0.626, 0.626, 0.800)
Tb (0.862, 0.862, 0.561)
Nd (0.037, 0.037, 0.213)
Nd (0.242, 0.242, 0.671)
Nd (0.320, 0.320, 0.917)
Nd (0.500, 0.500, 0.500)
Nd (0.680, 0.680, 0.083)
Nd (0.758, 0.758, 0.329)
Nd (0.963, 0.963, 0.787)

b.
A geometry-optimized Tb5Nd7 structure, computed with PBE.

Cell lengths 9.639, 9.639, 13.352 Å; angles 117.62, 117.62, 21.82 degrees
Fractional positions:
Tb (0.000, 0.000, 0.000)
Tb (0.168, 0.168, 0.502)
Tb (0.306, 0.306, 0.252)
Tb (0.694, 0.694, 0.748)
Tb (0.832, 0.832, 0.498)
Nd (0.028, 0.028, 0.750)
Nd (0.333, 0.333, 0.998)
Nd (0.360, 0.360, 0.749)
Nd (0.500, 0.500, 0.500)
Nd (0.640, 0.640, 0.251)
Nd (0.667, 0.667, 0.002)
Nd (0.972, 0.972, 0.250)

How do the energies compare? Relative to the most stable structure, in kJ/mol of atoms: a 15.1; b 0.0.